The following is a GGA+U calculation of a relaxed structure of NaCr2FeO10, from Alexandria.

abc: 10.346 5.622 7.015
angles: 90.00 98.59 90.00
Space group C2/m (No. 12)
Symmetry-distinct sites (fractional):
1 Na 0.000 0.000 0.000 [2 per cell]
2 Cr 0.132 0.500 0.802 [4 per cell]
3 Fe 0.000 0.000 0.500 [2 per cell]
4 O 0.057 0.252 0.715 [8 per cell]
5 O 0.152 0.500 0.033 [4 per cell]
6 O 0.195 0.000 0.442 [4 per cell]
7 O 0.199 0.000 0.248 [4 per cell]

Output
- DOS(E_F) (states/eV/cell) = 5.21
- E (eV per atom) = -6.08
- ΔE to the lowest computed polymorph (eV per formula unit) = 0.033